Entry 1:
First-principles (GGA+U) data for Tb2DyCo2B2O3 after structural relaxation, as listed in the Open Quantum Materials Database.

E_tot in eV/atom: -6.8864
Size of the total moment in Bohr magnetons per cell: 0.003

a = 10.971 Å, b = 10.971 Å, c = 10.971 Å
α = 162.10°, β = 162.10°, γ = 25.43°
Sites, in units of the cell vectors:
B  0.210  0.210  0.000
B  0.790  0.790  0.000
Co  0.750  0.250  0.500
Co  0.250  0.750  0.500
Dy  0.000  0.000  0.000
O  0.103  0.103  0.000
O  0.500  0.500  0.000
O  0.897  0.897  0.000
Tb  0.363  0.363  0.000
Tb  0.637  0.637  0.000

Entry 2:
First-principles (GGA+U) data for TbDy2Co2B2O3 after structural relaxation, as listed in the Open Quantum Materials Database.

E_tot in eV/atom: -6.8772
Size of the total moment in Bohr magnetons per cell: 0.003

a = 11.003 Å, b = 11.003 Å, c = 11.003 Å
α = 162.19°, β = 162.19°, γ = 25.30°
Sites, in units of the cell vectors:
B  0.210  0.210  0.000
B  0.790  0.790  0.000
Co  0.750  0.250  0.500
Co  0.250  0.750  0.500
Dy  0.362  0.362  0.000
Dy  0.638  0.638  0.000
O  0.104  0.104  0.000
O  0.500  0.500  0.000
O  0.896  0.896  0.000
Tb  0.000  0.000  0.000

Entry 3:
First-principles (GGA+U) data for Dy2TmCo2B2O3 after structural relaxation, as listed in the Open Quantum Materials Database.

E_tot in eV/atom: -6.8788
Size of the total moment in Bohr magnetons per cell: 0.003

a = 10.843 Å, b = 10.843 Å, c = 10.843 Å
α = 161.98°, β = 161.98°, γ = 25.59°
Sites, in units of the cell vectors:
B  0.209  0.209  0.000
B  0.791  0.791  0.000
Co  0.750  0.250  0.500
Co  0.250  0.750  0.500
Dy  0.364  0.364  0.000
Dy  0.636  0.636  0.000
O  0.102  0.102  0.000
O  0.500  0.500  0.000
O  0.898  0.898  0.000
Tm  0.000  0.000  0.000